one:
VASP calculation (GGA-PBE) on crystalline PH3Se at its relaxed geometry.

Lattice parameters (Å, degrees): 3.683 3.683 3.683 90.00 90.00 90.00
Atoms (fractional coordinates):
1 P 0.000 0.000 0.000
2 H 0.000 0.500 0.500
3 H 0.500 0.000 0.500
4 H 0.500 0.500 0.000
5 Se 0.500 0.500 0.500



two:
VASP calculation (GGA-PBE) on crystalline PH3Se at its relaxed geometry.

Lattice parameters (Å, degrees): 6.352 4.665 5.674 90.00 90.00 90.00
Atoms (fractional coordinates):
1 P 0.000 0.169 0.000
2 P 0.500 0.831 0.500
3 H 0.000 0.865 0.986
4 H 0.176 0.253 0.861
5 H 0.324 0.747 0.361
6 H 0.500 0.135 0.486
7 H 0.676 0.747 0.361
8 H 0.824 0.253 0.861
9 Se 0.000 0.340 0.349
10 Se 0.500 0.660 0.849



three:
VASP calculation (GGA-PBE) on crystalline PH3Se at its relaxed geometry.

Lattice parameters (Å, degrees): 3.577 3.577 3.577 90.00 90.00 90.00
Atoms (fractional coordinates):
1 P 0.000 0.000 0.000
2 H 0.000 0.000 0.500
3 H 0.000 0.500 0.000
4 H 0.500 0.000 0.000
5 Se 0.500 0.500 0.500



four:
VASP calculation (GGA-PBE) on crystalline PH3Se at its relaxed geometry.

Lattice parameters (Å, degrees): 4.782 5.647 6.226 83.29 89.99 89.47
Atoms (fractional coordinates):
1 P 0.000 0.000 0.000
2 P 0.498 0.350 0.457
3 H 0.123 0.879 0.835
4 H 0.126 0.891 0.194
5 H 0.219 0.437 0.443
6 H 0.619 0.470 0.622
7 H 0.623 0.459 0.263
8 H 0.722 0.916 0.013
9 Se 0.055 0.377 0.946
10 Se 0.557 0.973 0.510



Each structure's energy above the most stable one, in kJ/mol of atoms: one 103.2; two 0.0; three 76.1; four 0.6.



one:
VASP calculation (GGA-PBE) on crystalline PHSe2 at its relaxed geometry.

Lattice parameters (Å, degrees): 6.042 6.042 7.543 90.00 90.00 90.00
Atoms (fractional coordinates):
1 P 0.000 0.000 0.000
2 P 0.000 0.500 0.250
3 P 0.500 0.000 0.750
4 P 0.500 0.500 0.500
5 H 0.000 0.000 0.500
6 H 0.000 0.500 0.750
7 H 0.500 0.000 0.250
8 H 0.500 0.500 0.000
9 Se 0.223 0.750 0.625
10 Se 0.250 0.223 0.375
11 Se 0.250 0.277 0.875
12 Se 0.277 0.750 0.125
13 Se 0.723 0.250 0.125
14 Se 0.750 0.723 0.875
15 Se 0.750 0.777 0.375
16 Se 0.777 0.250 0.625



two:
VASP calculation (GGA-PBE) on crystalline PHSe2 at its relaxed geometry.

Lattice parameters (Å, degrees): 2.938 2.938 24.812 90.00 90.00 120.00
Atoms (fractional coordinates):
1 P 0.000 0.000 0.000
2 P 0.333 0.667 0.667
3 P 0.667 0.333 0.333
4 H 0.000 0.000 0.500
5 H 0.333 0.667 0.167
6 H 0.667 0.333 0.833
7 Se 0.000 0.000 0.104
8 Se 0.000 0.000 0.896
9 Se 0.333 0.667 0.563
10 Se 0.333 0.667 0.771
11 Se 0.667 0.333 0.229
12 Se 0.667 0.333 0.437



three:
VASP calculation (GGA-PBE) on crystalline PHSe2 at its relaxed geometry.

Lattice parameters (Å, degrees): 3.821 3.821 19.092 90.00 90.00 120.00
Atoms (fractional coordinates):
1 P 0.000 0.000 0.000
2 P 0.333 0.667 0.667
3 P 0.667 0.333 0.333
4 H 0.000 0.000 0.500
5 H 0.333 0.667 0.167
6 H 0.667 0.333 0.833
7 Se 0.000 0.000 0.408
8 Se 0.000 0.000 0.592
9 Se 0.333 0.667 0.074
10 Se 0.333 0.667 0.259
11 Se 0.667 0.333 0.741
12 Se 0.667 0.333 0.926



four:
VASP calculation (GGA-PBE) on crystalline PHSe2 at its relaxed geometry.

Lattice parameters (Å, degrees): 6.263 6.263 6.263 90.00 90.00 90.00
Atoms (fractional coordinates):
1 P 0.000 0.000 0.000
2 P 0.000 0.500 0.500
3 P 0.500 0.000 0.500
4 P 0.500 0.500 0.000
5 H 0.000 0.000 0.500
6 H 0.000 0.500 0.000
7 H 0.500 0.000 0.000
8 H 0.500 0.500 0.500
9 Se 0.250 0.250 0.250
10 Se 0.250 0.250 0.750
11 Se 0.250 0.750 0.250
12 Se 0.250 0.750 0.750
13 Se 0.750 0.250 0.250
14 Se 0.750 0.250 0.750
15 Se 0.750 0.750 0.250
16 Se 0.750 0.750 0.750



Each structure's energy above the most stable one, in kJ/mol of atoms: one 31.0; two 55.9; three 0.0; four 60.3.



one:
VASP calculation (GGA-PBE) on crystalline SiP2H at its relaxed geometry.

Lattice parameters (Å, degrees): 3.598 3.347 6.129 90.00 90.27 90.00
Atoms (fractional coordinates):
1 Si 0.000 0.000 0.000
2 P 0.504 0.000 0.226
3 P 0.952 0.500 0.757
4 H 0.331 0.500 0.680



two:
VASP calculation (GGA-PBE) on crystalline SiP2H at its relaxed geometry.

Lattice parameters (Å, degrees): 3.626 3.660 5.546 95.90 103.51 118.09
Atoms (fractional coordinates):
1 Si 0.000 0.000 0.000
2 P 0.446 0.731 0.184
3 P 0.867 0.665 0.605
4 H 0.276 0.019 0.602



three:
VASP calculation (GGA-PBE) on crystalline SiP2H at its relaxed geometry.

Lattice parameters (Å, degrees): 3.394 5.818 6.421 71.99 87.61 74.05
Atoms (fractional coordinates):
1 Si 0.000 0.000 0.000
2 Si 0.500 0.000 0.500
3 P 0.103 0.774 0.378
4 P 0.368 0.235 0.118
5 P 0.632 0.765 0.882
6 P 0.897 0.226 0.622
7 H 0.000 0.500 0.000
8 H 0.000 0.500 0.500



Each structure's energy above the most stable one, in kJ/mol of atoms: one 0.0; two 6.7; three 14.0.



one:
VASP calculation (GGA-PBE) on crystalline SiP2H at its relaxed geometry.

Lattice parameters (Å, degrees): 3.447 3.709 5.068 103.90 90.15 117.62
Atoms (fractional coordinates):
1 Si 0.000 0.000 0.000
2 P 0.261 0.525 0.766
3 P 0.614 0.226 0.339
4 H 0.419 0.833 0.409



two:
VASP calculation (GGA-PBE) on crystalline SiP2H at its relaxed geometry.

Lattice parameters (Å, degrees): 9.239 3.335 5.604 90.00 106.96 90.00
Atoms (fractional coordinates):
1 Si 0.000 0.000 0.000
2 Si 0.500 0.500 0.000
3 P 0.168 0.500 0.035
4 P 0.262 0.500 0.721
5 P 0.668 0.000 0.035
6 P 0.762 0.000 0.721
7 H 0.480 0.500 0.257
8 H 0.980 0.000 0.257



Each structure's energy above the most stable one, in kJ/mol of atoms: one 0.0; two 4.6.



one:
VASP calculation (GGA-PBE) on crystalline SiP2H at its relaxed geometry.

Lattice parameters (Å, degrees): 3.354 9.189 3.788 90.00 90.00 90.00
Atoms (fractional coordinates):
1 Si 0.000 0.000 0.000
2 Si 0.500 0.500 0.000
3 P 0.000 0.169 0.500
4 P 0.000 0.831 0.500
5 P 0.500 0.331 0.500
6 P 0.500 0.669 0.500
7 H 0.000 0.500 0.000
8 H 0.500 0.000 0.000



two:
VASP calculation (GGA-PBE) on crystalline SiP2H at its relaxed geometry.

Lattice parameters (Å, degrees): 4.970 4.970 9.604 90.00 90.00 90.00
Atoms (fractional coordinates):
1 Si 0.000 0.000 0.000
2 Si 0.000 0.500 0.250
3 Si 0.500 0.000 0.750
4 Si 0.500 0.500 0.500
5 P 0.203 0.250 0.625
6 P 0.250 0.703 0.875
7 P 0.250 0.797 0.375
8 P 0.297 0.250 0.125
9 P 0.703 0.750 0.125
10 P 0.750 0.203 0.375
11 P 0.750 0.297 0.875
12 P 0.797 0.750 0.625
13 H 0.000 0.000 0.500
14 H 0.000 0.500 0.750
15 H 0.500 0.000 0.250
16 H 0.500 0.500 0.000



three:
VASP calculation (GGA-PBE) on crystalline SiP2H at its relaxed geometry.

Lattice parameters (Å, degrees): 4.645 5.697 5.301 90.00 106.77 90.00
Atoms (fractional coordinates):
1 Si 0.000 0.000 0.000
2 Si 0.500 0.500 0.000
3 P 0.216 0.323 0.228
4 P 0.284 0.823 0.772
5 P 0.716 0.823 0.228
6 P 0.784 0.323 0.772
7 H 0.000 0.764 0.500
8 H 0.500 0.264 0.500



four:
VASP calculation (GGA-PBE) on crystalline SiP2H at its relaxed geometry.

Lattice parameters (Å, degrees): 5.732 5.732 5.732 90.00 90.00 90.00
Atoms (fractional coordinates):
1 Si 0.000 0.000 0.000
2 Si 0.000 0.500 0.500
3 Si 0.500 0.000 0.500
4 Si 0.500 0.500 0.000
5 P 0.250 0.250 0.250
6 P 0.250 0.250 0.750
7 P 0.250 0.750 0.250
8 P 0.250 0.750 0.750
9 P 0.750 0.250 0.250
10 P 0.750 0.250 0.750
11 P 0.750 0.750 0.250
12 P 0.750 0.750 0.750
13 H 0.000 0.000 0.500
14 H 0.000 0.500 0.000
15 H 0.500 0.000 0.000
16 H 0.500 0.500 0.500



Each structure's energy above the most stable one, in kJ/mol of atoms: one 0.0; two 22.6; three 5.6; four 49.3.



one:
VASP calculation (GGA-PBE) on crystalline SiP2H at its relaxed geometry.

Lattice parameters (Å, degrees): 3.248 3.589 6.930 93.70 90.64 116.86
Atoms (fractional coordinates):
1 Si 0.000 0.000 0.000
2 P 0.038 0.060 0.328
3 P 0.302 0.611 0.843
4 H 0.259 0.509 0.332



two:
VASP calculation (GGA-PBE) on crystalline SiP2H at its relaxed geometry.

Lattice parameters (Å, degrees): 4.630 2.426 5.953 90.00 111.86 90.00
Atoms (fractional coordinates):
1 Si 0.000 0.000 0.000
2 P 0.200 0.000 0.435
3 P 0.446 0.000 0.886
4 H 0.897 0.000 0.448



three:
VASP calculation (GGA-PBE) on crystalline SiP2H at its relaxed geometry.

Lattice parameters (Å, degrees): 6.339 3.614 5.602 90.00 114.76 90.00
Atoms (fractional coordinates):
1 Si 0.000 0.000 0.000
2 Si 0.500 0.500 0.000
3 P 0.061 0.500 0.303
4 P 0.099 0.500 0.784
5 P 0.561 0.000 0.303
6 P 0.599 0.000 0.784
7 H 0.308 0.500 0.402
8 H 0.808 0.000 0.402



four:
VASP calculation (GGA-PBE) on crystalline SiP2H at its relaxed geometry.

Lattice parameters (Å, degrees): 3.470 3.470 17.992 90.00 90.00 120.00
Atoms (fractional coordinates):
1 Si 0.000 0.000 0.000
2 Si 0.333 0.667 0.667
3 Si 0.667 0.333 0.333
4 P 0.000 0.000 0.405
5 P 0.000 0.000 0.595
6 P 0.333 0.667 0.071
7 P 0.333 0.667 0.262
8 P 0.667 0.333 0.738
9 P 0.667 0.333 0.929
10 H 0.000 0.000 0.500
11 H 0.333 0.667 0.167
12 H 0.667 0.333 0.833



Each structure's energy above the most stable one, in kJ/mol of atoms: one 3.7; two 5.7; three 0.0; four 15.2.



one:
VASP calculation (GGA-PBE) on crystalline SiP2H at its relaxed geometry.

Lattice parameters (Å, degrees): 4.179 2.443 6.056 90.00 96.16 90.00
Atoms (fractional coordinates):
1 Si 0.000 0.000 0.000
2 P 0.189 0.000 0.391
3 P 0.461 0.000 0.809
4 H 0.873 0.000 0.461



two:
VASP calculation (GGA-PBE) on crystalline SiP2H at its relaxed geometry.

Lattice parameters (Å, degrees): 6.421 3.234 7.217 90.00 105.78 90.00
Atoms (fractional coordinates):
1 Si 0.000 0.000 0.000
2 Si 0.500 0.500 0.000
3 P 0.366 0.000 0.157
4 P 0.399 0.500 0.675
5 P 0.866 0.500 0.157
6 P 0.899 0.000 0.675
7 H 0.120 0.000 0.666
8 H 0.620 0.500 0.666



Each structure's energy above the most stable one, in kJ/mol of atoms: one 2.9; two 0.0.



one:
VASP calculation (GGA-PBE) on crystalline Si2PH at its relaxed geometry.

Lattice parameters (Å, degrees): 5.736 5.736 5.736 90.00 90.00 90.00
Atoms (fractional coordinates):
1 Si 0.250 0.250 0.250
2 Si 0.250 0.250 0.750
3 Si 0.250 0.750 0.250
4 Si 0.250 0.750 0.750
5 Si 0.750 0.250 0.250
6 Si 0.750 0.250 0.750
7 Si 0.750 0.750 0.250
8 Si 0.750 0.750 0.750
9 P 0.000 0.000 0.000
10 P 0.000 0.500 0.500
11 P 0.500 0.000 0.500
12 P 0.500 0.500 0.000
13 H 0.000 0.000 0.500
14 H 0.000 0.500 0.000
15 H 0.500 0.000 0.000
16 H 0.500 0.500 0.500



two:
VASP calculation (GGA-PBE) on crystalline Si2PH at its relaxed geometry.

Lattice parameters (Å, degrees): 5.004 5.004 9.173 90.00 90.00 90.00
Atoms (fractional coordinates):
1 Si 0.181 0.250 0.125
2 Si 0.250 0.681 0.375
3 Si 0.250 0.819 0.875
4 Si 0.319 0.250 0.625
5 Si 0.681 0.750 0.625
6 Si 0.750 0.181 0.875
7 Si 0.750 0.319 0.375
8 Si 0.819 0.750 0.125
9 P 0.000 0.000 0.500
10 P 0.000 0.500 0.750
11 P 0.500 0.000 0.250
12 P 0.500 0.500 0.000
13 H 0.000 0.000 0.000
14 H 0.000 0.500 0.250
15 H 0.500 0.000 0.750
16 H 0.500 0.500 0.500



Each structure's energy above the most stable one, in kJ/mol of atoms: one 11.3; two 0.0.